Below is crystalline CoSe2Cl at its relaxed geometry, with properties calculated at the GGA-PBEsol level.

Output
formation energy (no corrections): 8.07 kcal/mol of atoms
raw total energy: -0.2948 Ry/atom
ΔE to the lowest computed polymorph: 599.1 meV per atom

```
CoSe2Cl
1.0
-0.200 -1.117 2.553
-1.113 -2.542 0.330
9.464 -5.710 -0.229
Co Se Cl
1 2 1
direct
0.000 0.000 0.000
0.932 0.932 0.204
0.068 0.068 0.796
0.500 0.500 0.500
```

---

Below is crystalline NiAs2SeO at its relaxed geometry, with properties calculated at the GGA-PBEsol level.

Output
formation energy (no corrections): 11.15 kcal/mol of atoms
raw total energy: -0.3389 Ry/atom

```
NiAs2SeO
1.0
4.198 0.000 0.000
0.000 4.198 0.000
0.000 0.000 4.450
Ni As O Se
1 2 1 1
direct
0.500 0.500 0.500
0.000 0.500 0.000
0.500 0.000 0.000
0.000 0.000 0.000
0.000 0.000 0.500
```

---

Below is crystalline SiSb2Te at its relaxed geometry, with properties calculated at the GGA-PBEsol level.

Output
formation energy (no corrections): 10.12 kcal/mol of atoms
raw total energy: -0.3056 Ry/atom
ΔE to the lowest computed polymorph: 76.7 meV per atom

```
SiSb2Te
1.0
-2.741 1.817 2.782
2.254 -1.633 3.287
3.238 4.259 -2.926
Sb Si Te
2 1 1
direct
0.000 0.000 0.000
0.750 0.250 0.500
0.500 0.500 0.000
0.250 0.750 0.500
```

---

Below is crystalline Sc2TaHg at its relaxed geometry, with properties calculated at the GGA-PBEsol level.

Output
raw total energy: -0.4830 Ry/atom
energy relative to the elements: 0.0 eV/f.u.

```
Sc2TaHg
1.0
3.187 0.000 0.000
0.000 4.948 0.000
-1.594 -2.474 5.173
Hg Sc Ta
1 2 1
direct
0.242 0.742 0.484
0.984 0.984 0.968
0.764 0.264 0.527
0.510 0.510 0.021
```

---

Below is crystalline ZrMn6GaSn5 at its relaxed geometry, with properties calculated at the GGA-PBEsol level.

Output
raw total energy: -0.5313 Ry/atom
energy relative to the elements: -1.7 eV/f.u.

```
ZrMn6GaSn5
1.0
-4.706 -1.828 -1.484
3.447 -3.207 2.348
-3.289 2.157 7.774
Zr Mn Ga Sn
1 6 1 5
direct
0.667 0.333 0.500
0.673 0.837 0.258
0.163 0.327 0.258
0.163 0.837 0.258
0.673 0.837 0.742
0.163 0.327 0.742
0.163 0.837 0.742
0.000 0.000 0.500
0.667 0.333 0.171
0.667 0.333 0.829
0.333 0.667 0.000
0.000 0.000 0.000
0.333 0.667 0.500
```

---

Below is crystalline Sc2Mn at its relaxed geometry, with properties calculated at the GGA-PBEsol level.

Output
raw total energy: -0.5532 Ry/atom
energy relative to the elements: 0.4 eV/f.u.

```
Sc2Mn
1.0
-3.130 0.457 0.254
-0.397 -4.038 2.373
2.615 3.419 6.256
Mn Sc
2 4
direct
0.439 0.750 0.877
0.561 0.250 0.123
0.082 0.750 0.165
0.918 0.250 0.835
0.785 0.750 0.570
0.215 0.250 0.430
```

---

| no. | density (g/cm3) |
| --- | --- |
| 1 | 5.67 |
| 2 | 6.43 |
| 3 | 6.76 |
| 4 | 9.59 |
| 5 | 8.62 |
| 6 | 4.34 |